Record 1
A plane-wave DFT calculation with PBE was carried out for crystalline AsPIO2 at its relaxed geometry.

Calculated values
Final energy, eV per atom: -3.899
Size of the total moment, μB per atom: 0.175
Crystal system: tetragonal
Distance to the lowest polymorph of the same formula, eV per formula unit: 2.374

a b c (Å): 3.951 3.951 5.790
angles (deg): 90.00 90.00 90.00
Atoms (fractional coordinates):
As: 0.000 0.000 0.000
P: 0.500 0.500 0.000
I: 0.500 0.500 0.500
O: 0.000 0.500 0.500
O: 0.500 0.000 0.500

---

Record 2
A plane-wave DFT calculation with PBE was carried out for crystalline Pr6InSi2 at its relaxed geometry.

Calculated values
Final energy, eV per atom: -5.166
Size of the total moment, μB per atom: 0.000
Crystal system: orthorhombic

a b c (Å): 8.905 8.905 8.905
angles (deg): 112.29 109.70 106.48
Atoms (fractional coordinates):
Pr: 0.034 0.240 0.794
Pr: 0.185 0.277 0.461
Pr: 0.185 0.723 0.908
Pr: 0.320 0.026 0.706
Pr: 0.320 0.614 0.294
Pr: 0.446 0.240 0.206
Pr: 0.554 0.760 0.794
Pr: 0.680 0.386 0.706
Pr: 0.680 0.974 0.294
Pr: 0.815 0.277 0.092
Pr: 0.815 0.723 0.539
Pr: 0.966 0.760 0.206
In: 0.000 0.000 0.000
In: 0.500 0.500 0.000
Si: 0.112 0.612 0.500
Si: 0.376 0.000 0.376
Si: 0.624 0.000 0.624
Si: 0.888 0.388 0.500

---

Record 3
A plane-wave DFT calculation with PBE was carried out for crystalline MnTeN2 at its relaxed geometry.

Calculated values
Final energy, eV per atom: -6.943
Size of the total moment, μB per atom: 0.000
Crystal system: orthorhombic

a b c (Å): 5.432 5.944 8.113
angles (deg): 90.00 90.00 90.00
Atoms (fractional coordinates):
Mn: 0.028 0.250 0.105
Mn: 0.472 0.750 0.605
Mn: 0.528 0.250 0.395
Mn: 0.972 0.750 0.895
Te: 0.028 0.750 0.485
Te: 0.472 0.250 0.985
Te: 0.528 0.750 0.015
Te: 0.972 0.250 0.515
N: 0.000 0.000 0.000
N: 0.000 0.500 0.000
N: 0.187 0.250 0.301
N: 0.313 0.750 0.801
N: 0.500 0.000 0.500
N: 0.500 0.500 0.500
N: 0.687 0.250 0.199
N: 0.813 0.750 0.699

---

Record 4
A plane-wave DFT calculation with PBE was carried out for crystalline BaTlCu2 at its relaxed geometry.

Calculated values
Energy of formation from the pure elements, meV per atom: 294
Final energy, eV per atom: -2.827
Size of the total moment, μB per atom: 0.000
Crystal system: cubic

a b c (Å): 5.245 5.245 5.245
angles (deg): 60.00 60.00 60.00
Atoms (fractional coordinates):
Ba: 0.000 0.000 0.000
Tl: 0.250 0.250 0.250
Cu: 0.500 0.500 0.500
Cu: 0.750 0.750 0.750

---

Record 5
A plane-wave DFT calculation with PBE was carried out for crystalline Be4FeRe at its relaxed geometry.

Calculated values
Energy of formation from the pure elements, meV per atom: -257
Final energy, eV per atom: -6.226
Size of the total moment, μB per atom: 0.314
Crystal system: cubic

a b c (Å): 4.280 4.280 4.280
angles (deg): 60.00 60.00 60.00
Atoms (fractional coordinates):
Be: 0.124 0.124 0.124
Be: 0.124 0.124 0.629
Be: 0.124 0.629 0.124
Be: 0.629 0.124 0.124
Fe: 0.500 0.500 0.500
Re: 0.750 0.750 0.750

---

Record 6
A plane-wave DFT calculation with PBE was carried out for crystalline LaY2Tl at its relaxed geometry.

Calculated values
Energy of formation from the pure elements, meV per atom: -88
Final energy, eV per atom: -5.144
Size of the total moment, μB per atom: 0.012
Crystal system: orthorhombic
Distance to the lowest polymorph of the same formula, eV per formula unit: 0.432

a b c (Å): 5.561 5.561 3.869
angles (deg): 90.00 90.00 90.06
Atoms (fractional coordinates):
La: 0.000 0.000 0.000
Y: 0.000 0.500 0.500
Y: 0.500 0.000 0.500
Tl: 0.500 0.500 0.000

---

Record 7
A plane-wave DFT calculation with PBE was carried out for crystalline LiTiAl at its relaxed geometry.

Calculated values
Energy of formation from the pure elements, meV per atom: -208
Final energy, eV per atom: -4.725
Size of the total moment, μB per atom: 0.000
Crystal system: tetragonal
Distance to the lowest polymorph of the same formula, eV per formula unit: 0.000

a b c (Å): 2.866 2.866 11.936
angles (deg): 90.00 90.00 90.00
Atoms (fractional coordinates):
Li: 0.250 0.250 0.086
Li: 0.750 0.750 0.914
Ti: 0.250 0.250 0.413
Ti: 0.750 0.750 0.587
Al: 0.250 0.250 0.758
Al: 0.750 0.750 0.242

---

Record 8
A plane-wave DFT calculation with PBE was carried out for crystalline KPtSe2O8 at its relaxed geometry.

Calculated values
Final energy, eV per atom: -5.189
Size of the total moment, μB per atom: 0.084
Crystal system: monoclinic

a b c (Å): 5.262 5.262 8.139
angles (deg): 91.00 91.00 62.94
Atoms (fractional coordinates):
K: 0.000 0.000 0.000
Pt: 0.000 0.000 0.500
Se: 0.369 0.369 0.693
Se: 0.631 0.631 0.307
O: 0.236 0.739 0.687
O: 0.252 0.252 0.531
O: 0.261 0.764 0.313
O: 0.303 0.303 0.879
O: 0.697 0.697 0.121
O: 0.739 0.236 0.687
O: 0.748 0.748 0.469
O: 0.764 0.261 0.313

---

Record 9
A plane-wave DFT calculation with PBE was carried out for crystalline Pr2SiAu at its relaxed geometry.

Calculated values
Final energy, eV per atom: -5.251
Size of the total moment, μB per atom: 0.000
Crystal system: monoclinic

a b c (Å): 6.110 4.358 8.457
angles (deg): 90.00 110.54 90.00
Atoms (fractional coordinates):
Pr: 0.210 0.250 0.423
Pr: 0.287 0.750 0.068
Pr: 0.713 0.250 0.932
Pr: 0.790 0.750 0.577
Si: 0.374 0.750 0.709
Si: 0.626 0.250 0.291
Au: 0.146 0.250 0.785
Au: 0.854 0.750 0.215

---

Record 10
A plane-wave DFT calculation with PBE was carried out for crystalline La2Cu2Pt5Au at its relaxed geometry.

Calculated values
Energy of formation from the pure elements, meV per atom: -719
Final energy, eV per atom: -5.872
Size of the total moment, μB per atom: 0.000
Crystal system: tetragonal

a b c (Å): 9.506 9.506 4.044
angles (deg): 90.00 90.00 90.00
Atoms (fractional coordinates):
La: 0.181 0.319 0.000
La: 0.319 0.819 0.000
La: 0.681 0.181 0.000
La: 0.819 0.681 0.000
Cu: 0.117 0.617 0.000
Cu: 0.383 0.117 0.000
Cu: 0.617 0.883 0.000
Cu: 0.883 0.383 0.000
Pt: 0.000 0.500 0.500
Pt: 0.063 0.790 0.500
Pt: 0.210 0.063 0.500
Pt: 0.290 0.563 0.500
Pt: 0.437 0.290 0.500
Pt: 0.500 0.000 0.500
Pt: 0.563 0.710 0.500
Pt: 0.710 0.437 0.500
Pt: 0.790 0.937 0.500
Pt: 0.937 0.210 0.500
Au: 0.000 0.000 0.000
Au: 0.500 0.500 0.000

---

Record 11
A plane-wave DFT calculation with PBE was carried out for crystalline NdU2RhN4 at its relaxed geometry.

Calculated values
Final energy, eV per atom: -9.587
Size of the total moment, μB per atom: 0.260
Crystal system: orthorhombic

a b c (Å): 5.951 5.951 11.568
angles (deg): 90.00 90.00 145.40
Atoms (fractional coordinates):
Nd: 0.106 0.894 0.750
Nd: 0.894 0.106 0.250
U: 0.372 0.628 0.559
U: 0.372 0.628 0.941
U: 0.628 0.372 0.059
U: 0.628 0.372 0.441
Rh: 0.158 0.842 0.250
Rh: 0.842 0.158 0.750
N: 0.000 0.000 0.000
N: 0.000 0.000 0.500
N: 0.268 0.732 0.098
N: 0.268 0.732 0.402
N: 0.455 0.545 0.750
N: 0.545 0.455 0.250
N: 0.732 0.268 0.598
N: 0.732 0.268 0.902

---

Record 12
A plane-wave DFT calculation with PBE was carried out for crystalline Pm7Sm2Sc at its relaxed geometry.

Calculated values
Energy of formation from the pure elements, meV per atom: 173
Final energy, eV per atom: -4.729
Size of the total moment, μB per atom: 0.000
Crystal system: orthorhombic

a b c (Å): 14.917 14.917 3.453
angles (deg): 90.00 90.00 154.12
Atoms (fractional coordinates):
Pm: 0.000 0.000 0.000
Pm: 0.163 0.356 0.000
Pm: 0.311 0.689 0.500
Pm: 0.356 0.163 0.000
Pm: 0.644 0.837 0.000
Pm: 0.689 0.311 0.500
Pm: 0.837 0.644 0.000
Sm: 0.204 0.796 0.000
Sm: 0.796 0.204 0.000
Sc: 0.500 0.500 0.500

---

Record 13
A plane-wave DFT calculation with PBE was carried out for crystalline Ho8NiPt2 at its relaxed geometry.

Calculated values
Energy of formation from the pure elements, meV per atom: -461
Final energy, eV per atom: -5.414
Size of the total moment, μB per atom: 0.000
Crystal system: monoclinic
Distance to the lowest polymorph of the same formula, eV per formula unit: 1.010

a b c (Å): 7.507 7.507 6.002
angles (deg): 100.88 100.88 111.90
Atoms (fractional coordinates):
Ho: 0.000 0.000 0.000
Ho: 0.013 0.273 0.583
Ho: 0.148 0.565 0.181
Ho: 0.273 0.013 0.583
Ho: 0.430 0.690 0.802
Ho: 0.565 0.148 0.181
Ho: 0.690 0.430 0.802
Ho: 0.709 0.709 0.365
Ni: 0.351 0.351 0.991
Pt: 0.035 0.666 0.687
Pt: 0.666 0.035 0.687

---

Record 14
A plane-wave DFT calculation with PBE was carried out for crystalline ErScGe2 at its relaxed geometry.

Calculated values
Energy of formation from the pure elements, meV per atom: -604
Final energy, eV per atom: -5.636
Size of the total moment, μB per atom: 0.000
Crystal system: trigonal

a b c (Å): 7.819 7.819 7.819
angles (deg): 27.50 27.50 27.50
Atoms (fractional coordinates):
Er: 0.000 0.000 0.000
Sc: 0.500 0.500 0.500
Ge: 0.246 0.246 0.246
Ge: 0.754 0.754 0.754

---

Record 15
A plane-wave DFT calculation with PBE was carried out for crystalline PuNp3Tl3S8 at its relaxed geometry.

Calculated values
Final energy, eV per atom: -7.325
Size of the total moment, μB per atom: 0.091
Crystal system: monoclinic

a b c (Å): 8.143 8.143 8.827
angles (deg): 117.44 117.44 59.68
Atoms (fractional coordinates):
Pu: 0.000 0.000 0.000
Np: 0.000 0.500 0.000
Np: 0.500 0.000 0.000
Np: 0.500 0.500 0.000
Tl: 0.000 0.000 0.500
Tl: 0.000 0.500 0.500
Tl: 0.500 0.000 0.500
S: 0.233 0.233 0.192
S: 0.233 0.729 0.192
S: 0.267 0.267 0.805
S: 0.271 0.767 0.808
S: 0.729 0.233 0.192
S: 0.733 0.733 0.195
S: 0.767 0.271 0.808
S: 0.767 0.767 0.808

---

Record 16
A plane-wave DFT calculation with PBE was carried out for crystalline Zn2CdAu7 at its relaxed geometry.

Calculated values
Energy of formation from the pure elements, meV per atom: -104
Final energy, eV per atom: -2.744
Size of the total moment, μB per atom: 0.000
Crystal system: tetragonal
Distance to the lowest polymorph of the same formula, eV per formula unit: 0.000

a b c (Å): 11.736 11.736 11.736
angles (deg): 159.97 159.97 28.48
Atoms (fractional coordinates):
Zn: 0.174 0.174 0.000
Zn: 0.826 0.826 0.000
Cd: 0.500 0.500 0.000
Au: 0.000 0.000 0.000
Au: 0.098 0.598 0.500
Au: 0.250 0.750 0.500
Au: 0.402 0.902 0.500
Au: 0.598 0.098 0.500
Au: 0.750 0.250 0.500
Au: 0.902 0.402 0.500

---

Record 17
A plane-wave DFT calculation with PBE was carried out for crystalline TmIO6 at its relaxed geometry.

Calculated values
Final energy, eV per atom: -5.387
Size of the total moment, μB per atom: 0.242
Crystal system: monoclinic

a b c (Å): 4.674 4.674 4.339
angles (deg): 96.59 96.59 97.49
Atoms (fractional coordinates):
Tm: 0.000 0.000 0.000
I: 0.500 0.500 0.500
O: 0.202 0.202 0.543
O: 0.219 0.590 0.183
O: 0.410 0.781 0.817
O: 0.590 0.219 0.183
O: 0.781 0.410 0.817
O: 0.798 0.798 0.457

---

Record 18
A plane-wave DFT calculation with PBE was carried out for crystalline SrRu2Pt at its relaxed geometry.

Calculated values
Energy of formation from the pure elements, meV per atom: 218
Final energy, eV per atom: -6.350
Size of the total moment, μB per atom: 0.000
Crystal system: tetragonal
Distance to the lowest polymorph of the same formula, eV per formula unit: 0.580

a b c (Å): 2.967 2.967 8.223
angles (deg): 90.00 90.00 90.00
Atoms (fractional coordinates):
Sr: 0.000 0.000 0.000
Ru: 0.000 0.000 0.516
Ru: 0.500 0.500 0.698
Pt: 0.500 0.500 0.289

---

Record 19
A plane-wave DFT calculation with PBE was carried out for crystalline UAlFeSi2 at its relaxed geometry.

Calculated values
Final energy, eV per atom: -7.116
Size of the total moment, μB per atom: 0.507
Crystal system: orthorhombic

a b c (Å): 5.335 5.445 5.494
angles (deg): 90.00 90.00 90.00
Atoms (fractional coordinates):
U: 0.250 0.000 0.230
U: 0.750 0.000 0.770
Al: 0.250 0.500 0.366
Al: 0.750 0.500 0.634
Fe: 0.000 0.500 0.000
Fe: 0.500 0.500 0.000
Si: 0.250 0.240 0.749
Si: 0.250 0.760 0.749
Si: 0.750 0.240 0.251
Si: 0.750 0.760 0.251

---

Record 20
A plane-wave DFT calculation with PBE was carried out for crystalline HgAs3P at its relaxed geometry.

Calculated values
Energy of formation from the pure elements, meV per atom: 1448
Final energy, eV per atom: -2.484
Size of the total moment, μB per atom: 0.000
Crystal system: cubic
Distance to the lowest polymorph of the same formula, eV per formula unit: 3.920

a b c (Å): 5.136 5.136 5.136
angles (deg): 90.00 90.00 90.00
Atoms (fractional coordinates):
Hg: 0.000 0.000 0.000
As: 0.000 0.000 0.500
As: 0.000 0.500 0.000
As: 0.500 0.000 0.000
P: 0.500 0.500 0.500